## BaCuSe2N (GGA-PBEsol)

Data for crystalline BaCuSe2N at its relaxed geometry.

```
5
Lattice="-0.771 -2.953 4.016 5.490 1.202 1.938 -2.092 4.667 3.030" Properties=species:S:1:pos:R:3 pbc="T T T"
Se 2.745 0.601 0.969
Cu 1.314 1.458 4.492
N -0.386 -1.476 2.008
Ba 0.000 0.000 0.000
Se -1.046 2.334 1.515
```

Formation energy (no corrections) in eV per atom: 1.370
M_tot in μB per formula unit: 3.44
Space group: P4/mmm (123)

=====

## Ba3NaCu (GGA-PBEsol)

Data for crystalline Ba3NaCu at its relaxed geometry.

```
5
Lattice="6.255 0.000 0.000 0.000 6.255 0.000 0.000 0.000 6.255" Properties=species:S:1:pos:R:3 pbc="T T T"
Na 3.128 3.128 3.128
Ba 0.000 0.000 3.128
Cu 0.000 0.000 0.000
Ba 3.128 0.000 0.000
Ba 0.000 3.128 0.000
```

Formation energy from the elements in eV per atom: 0.06
M_tot in μB per formula unit: 0.00
Space group: Pm-3m (221)

=====

## Ba2NaCu3O6 (GGA-PBEsol)

Data for crystalline Ba2NaCu3O6 at its relaxed geometry.

```
24
Lattice="7.029 -0.007 0.000 -2.075 6.715 0.000 -2.477 -3.354 7.200" Properties=species:S:1:pos:R:3 pbc="T T T"
O 4.515 3.958 1.346
O -2.038 -0.604 5.853
O -1.061 0.783 2.714
Na 0.000 0.000 4.760
O 2.038 0.604 5.853
Cu -1.724 -2.335 5.067
Ba 4.933 1.541 0.000
Cu 3.414 4.624 0.000
O 1.061 -0.783 2.714
O 3.538 2.571 4.486
Cu 1.539 2.085 0.000
O 0.439 2.751 1.346
O -0.023 2.126 5.853
Ba -1.038 3.358 3.600
O 1.416 4.138 4.486
O 0.023 -2.126 5.853
Cu 0.753 1.020 2.132
Cu 4.201 5.689 2.132
Na 2.477 3.354 2.440
Ba 3.514 -0.003 3.600
O 2.500 1.229 1.346
O 2.454 5.480 1.346
Ba 0.020 5.168 0.000
Cu 1.724 2.335 5.067
```

Formation energy (no corrections) in eV per atom: -1.447
M_tot in μB per formula unit: 2.01
Space group: Fmmm (69)

=====

## BaNa2V2CuO8 (GGA-PBEsol)

Data for crystalline BaNa2V2CuO8 at its relaxed geometry.

```
28
Lattice="5.463 0.008 -0.016 2.464 4.876 -0.016 0.683 0.421 13.928" Properties=species:S:1:pos:R:3 pbc="T T T"
O 6.356 4.904 1.129
Cu 0.000 0.000 0.000
V 6.057 3.167 8.733
Na 5.294 3.772 5.718
O 1.030 1.623 5.803
O 5.526 2.273 1.056
Na 3.316 1.532 8.178
O 2.255 0.400 12.768
O 3.550 4.268 1.467
O 7.580 3.681 8.093
V 5.211 3.775 1.769
O 5.060 1.037 12.429
Ba 5.264 0.714 3.466
O 3.121 1.705 10.468
Ba 3.346 4.591 10.430
O 6.025 3.494 10.392
Na 2.519 2.062 1.214
V 2.553 2.138 5.163
O 2.585 1.810 3.504
O 5.749 1.461 8.431
Na 6.091 3.242 12.683
O 3.084 3.031 12.840
V 3.399 1.529 12.127
O 3.753 1.181 5.876
O 5.490 3.600 3.428
O 4.857 4.124 8.020
O 2.861 3.843 5.465
Cu 0.341 0.210 6.964
```

Formation energy (no corrections) in eV per atom: -2.194
M_tot in μB per formula unit: 1.00
Space group: C2/c (15)

=====

## BaNb2Cu (GGA-PBEsol)

Data for crystalline BaNb2Cu at its relaxed geometry.

```
4
Lattice="4.735 0.000 0.000 2.368 4.101 0.000 2.368 1.367 3.866" Properties=species:S:1:pos:R:3 pbc="T T T"
Nb 2.368 1.367 0.967
Ba 4.735 2.734 1.933
Cu 0.000 0.000 0.000
Nb 7.103 4.101 2.900
```

Formation energy from the elements in eV per atom: 1.11
M_tot in μB per formula unit: 0.00
Space group: Fm-3m (225)

=====

## Ba2NdNbCu2O8 (GGA-PBEsol)

Data for crystalline Ba2NdNbCu2O8 at its relaxed geometry.

```
14
Lattice="-0.767 3.804 0.787 -3.401 -1.045 1.736 5.620 -1.017 10.395" Properties=species:S:1:pos:R:3 pbc="T T T"
Ba -0.979 1.179 3.306
O 4.680 -0.847 8.657
O 1.819 -1.160 7.379
O 0.400 -0.903 4.753
O 0.940 -0.170 1.739
Cu 2.027 -0.367 3.750
Cu 3.592 -0.650 6.645
O -0.384 1.902 0.393
O 1.717 1.522 4.279
Ba 2.430 0.562 9.613
O 3.136 1.265 6.904
Nb 0.000 0.000 0.000
Nd 0.726 0.871 6.459
O -1.701 -0.523 0.868
```

Formation energy (no corrections) in eV per atom: -2.314
M_tot in μB per formula unit: 0.00
Space group: P4/mmm (123)

=====

## Ba2PrNbCu2O8 (GGA-PBEsol)

Data for crystalline Ba2PrNbCu2O8 at its relaxed geometry.

```
28
Lattice="-4.678 -0.564 -2.942 2.517 -3.700 -3.292 -2.452 -6.791 10.445" Properties=species:S:1:pos:R:3 pbc="T T T"
O -2.010 -3.029 -4.657
Ba -3.036 -2.044 -0.024
O -0.414 -6.373 4.511
Cu -3.346 -7.854 1.582
O -0.580 -1.465 1.203
O -1.680 -4.525 6.152
Ba 0.561 -3.612 -0.199
O -2.763 -1.118 -2.693
O -4.033 -9.591 3.008
O -2.933 -6.531 -1.941
O -2.953 -7.459 6.125
Nb 0.000 0.000 0.000
Pr -0.508 -6.311 2.018
O -1.660 -3.597 -1.914
O -0.598 -6.242 -0.465
Cu -2.265 -5.722 4.699
O -4.199 -4.682 -0.300
O -0.152 -1.235 -1.577
Cu -2.348 -5.333 -0.489
O 0.601 -3.146 -3.541
O -1.865 -4.393 1.176
Nb -1.081 -2.132 -3.117
Ba -1.577 -9.011 4.235
Pr -4.105 -4.744 2.193
O -4.015 -4.813 4.675
Cu -1.267 -3.201 2.628
Ba -5.174 -7.444 4.410
O -2.748 -6.662 3.034
```

Formation energy (no corrections) in eV per atom: -2.314
M_tot in μB per formula unit: 0.00
Space group: I4/mcm (140)

=====

## RbBaNbCu2 (GGA-PBEsol)

Data for crystalline RbBaNbCu2 at its relaxed geometry.

```
5
Lattice="-2.499 -2.667 -3.604 4.481 -1.619 -1.909 -0.164 -4.622 3.534" Properties=species:S:1:pos:R:3 pbc="T T T"
Cu 2.241 -0.809 -0.955
Rb 0.000 0.000 0.000
Ba -0.082 -2.311 1.767
Cu -1.250 -1.333 -1.802
Nb 0.909 -4.454 -0.990
```

Formation energy from the elements in eV per atom: 1.98
M_tot in μB per formula unit: 3.59
Space group: P4/mmm (123)

=====

## Ba2NdCu3O7 (GGA-PBEsol)

Data for crystalline Ba2NdCu3O7 at its relaxed geometry.

```
13
Lattice="-0.595 -2.657 2.714 2.947 1.465 2.081 -7.366 7.158 5.392" Properties=species:S:1:pos:R:3 pbc="T T T"
O -1.251 3.380 3.035
Cu 0.000 0.000 0.000
O 1.474 0.733 1.040
O -6.190 6.015 4.531
O -1.176 1.143 0.861
Cu -2.550 2.478 1.867
O -4.935 3.178 4.752
Ba -0.150 0.693 3.368
Nd -2.507 2.983 5.093
Cu -4.816 4.680 3.525
O -3.168 5.243 4.438
Ba -4.864 5.274 6.819
O -3.026 1.323 3.354
```

Formation energy (no corrections) in eV per atom: -1.818
M_tot in μB per formula unit: 0.00
Space group: Pmmm (47)

=====

## Ba4Nd8Cu3PtO20 (GGA-PBEsol)

Data for crystalline Ba4Nd8Cu3PtO20 at its relaxed geometry.

```
36
Lattice="-1.704 -5.541 0.470 2.060 -0.094 6.360 -12.115 4.060 3.948" Properties=species:S:1:pos:R:3 pbc="T T T"
Nd -5.490 -1.112 2.979
O -3.518 -0.098 3.682
Ba -5.027 1.983 5.154
O -4.693 -2.495 7.497
Cu 0.000 0.000 0.000
O -7.065 0.919 3.281
Cu -1.985 0.965 4.178
Ba -7.045 2.955 9.301
O -1.270 -0.674 4.895
Pt -6.057 2.030 1.974
Nd -6.268 -0.464 7.799
Nd -11.572 0.924 4.934
O -7.899 0.187 9.551
Nd -8.245 -0.097 4.959
Cu -8.069 3.001 6.130
O -9.610 1.954 5.641
O -10.797 -0.500 9.503
O -10.488 -0.901 5.883
O -3.844 0.267 7.263
O 0.178 -2.817 3.415
O -3.859 -1.762 1.227
O -8.240 -1.477 7.096
O -7.369 1.355 6.856
Nd -2.146 -2.141 2.965
O -1.839 -3.932 1.517
O -2.148 -3.529 5.137
Nd -3.513 -1.479 5.819
Ba -3.010 1.011 1.007
O -4.389 -2.930 3.922
Nd -0.186 -2.499 5.844
O -5.879 -0.788 5.389
Ba 1.030 -0.047 3.180
O -0.961 -1.075 1.275
Nd -9.612 0.566 7.813
O -9.919 2.357 9.261
O -7.914 -1.842 3.515
```

Formation energy (no corrections) in eV per atom: -2.630
M_tot in μB per formula unit: 3.00
Space group: P2/m (10)

=====

## BaSrNdTlCu2O7 (GGA-PBEsol)

Data for crystalline BaSrNdTlCu2O7 at its relaxed geometry.

```
13
Lattice="-2.882 -2.494 0.432 1.963 -2.621 -2.037 5.147 -4.150 10.373" Properties=species:S:1:pos:R:3 pbc="T T T"
Nd 2.114 -4.645 4.315
O 2.837 -3.307 -0.167
Tl 0.178 -0.218 -0.069
O 4.192 -3.913 5.379
Sr 0.642 -3.459 1.342
O 4.311 -3.479 8.673
Ba 3.666 -5.899 7.432
O 0.491 -2.817 4.043
Cu 1.843 -1.496 3.656
O 1.768 -3.849 6.604
O -0.558 -2.394 -0.512
Cu 3.282 -2.660 6.540
O 2.904 -2.871 2.801
```

Formation energy (no corrections) in eV per atom: -1.865
M_tot in μB per formula unit: 0.00
Space group: Pm (6)

=====

## BaCu2Ni (GGA-PBEsol)

Data for crystalline BaCu2Ni at its relaxed geometry.

```
4
Lattice="4.733 0.000 0.000 2.367 4.099 0.000 2.367 1.366 3.865" Properties=species:S:1:pos:R:3 pbc="T T T"
Ba 4.733 2.733 1.932
Cu 7.100 4.099 2.899
Ni 2.367 1.366 0.966
Cu 0.000 0.000 0.000
```

Formation energy from the elements in eV per atom: 0.64
M_tot in μB per formula unit: 0.00
Space group: F-43m (216)

=====

## BaCu2Ni (GGA-PBEsol)

Data for crystalline BaCu2Ni at its relaxed geometry.

```
4
Lattice="-1.459 -0.236 3.678 2.201 -3.300 0.661 3.388 2.561 1.508" Properties=species:S:1:pos:R:3 pbc="T T T"
Ba 2.794 -0.369 1.085
Cu 0.000 0.000 0.000
Ni 0.964 1.163 2.593
Cu 0.371 -1.768 2.170
```

Formation energy from the elements in eV per atom: 0.63
M_tot in μB per formula unit: 0.00
Space group: Pmmm (47)

=====

## BaCuNi2 (GGA-PBEsol)

Data for crystalline BaCuNi2 at its relaxed geometry.

```
4
Lattice="-3.940 -0.342 -1.173 -2.450 -2.794 1.791 -3.519 2.500 3.838" Properties=species:S:1:pos:R:3 pbc="T T T"
Ni -2.188 -0.898 0.357
Ba -4.954 -0.318 2.228
Ni -7.721 0.262 4.100
Cu 0.000 0.000 0.000
```

Formation energy from the elements in eV per atom: 0.02
M_tot in μB per formula unit: 0.00
Space group: R-3m (166)

=====

## BaCu2Ni (GGA-PBEsol)

Data for crystalline BaCu2Ni at its relaxed geometry.

```
4
Lattice="-0.610 3.998 0.958 -3.863 1.520 0.215 -1.705 0.566 5.567" Properties=species:S:1:pos:R:3 pbc="T T T"
Cu -4.632 4.575 5.008
Cu -1.663 0.815 4.556
Ni -3.131 2.791 4.391
Ba -1.544 1.522 1.682
```

Formation energy from the elements in eV per atom: 0.02
M_tot in μB per formula unit: 0.00
Space group: R3m (160)

=====

## BaCuNi2 (GGA-PBEsol)

Data for crystalline BaCuNi2 at its relaxed geometry.

```
4
Lattice="-1.670 -3.740 -0.233 -0.336 -2.311 3.373 -5.456 0.081 1.986" Properties=species:S:1:pos:R:3 pbc="T T T"
Ni -2.057 -6.029 3.150
Ba -3.722 -2.989 2.561
Ni -0.905 -1.914 1.093
Cu -6.517 -4.073 4.025
```

Formation energy from the elements in eV per atom: 0.03
M_tot in μB per formula unit: 0.00
Space group: Cm (8)

=====

## BaCu2Ni (GGA-PBEsol)

Data for crystalline BaCu2Ni at its relaxed geometry.

```
4
Lattice="-1.871 1.370 2.115 0.488 -2.386 1.979 5.548 3.386 2.714" Properties=species:S:1:pos:R:3 pbc="T T T"
Ba 2.083 1.185 3.404
Cu 0.922 0.563 0.451
Cu 4.626 2.824 2.263
Ni -0.691 -0.508 2.047
```

Formation energy from the elements in eV per atom: 0.35
M_tot in μB per formula unit: 0.01
Space group: P4/mmm (123)

=====

## Ba2CuNi (GGA-PBEsol)

Data for crystalline Ba2CuNi at its relaxed geometry.

```
4
Lattice="-0.667 2.300 3.508 -1.135 -3.535 2.102 7.997 -0.444 -0.759" Properties=species:S:1:pos:R:3 pbc="T T T"
Ni 1.855 0.823 2.385
Ba 0.105 -0.016 0.030
Ba 2.937 -2.291 2.061
Cu 0.397 -0.811 3.179
```

Formation energy from the elements in eV per atom: 0.12
M_tot in μB per formula unit: 0.01
Space group: Imm2 (44)

=====

## Ba2CuNi (GGA-PBEsol)

Data for crystalline Ba2CuNi at its relaxed geometry.

```
4
Lattice="4.359 0.000 0.000 0.000 4.449 0.000 0.000 -2.224 5.991" Properties=species:S:1:pos:R:3 pbc="T T T"
Ba 0.000 0.000 3.172
Ba 2.180 2.224 5.853
Ni 2.180 2.224 2.012
Cu 0.000 2.224 0.945
```

Formation energy from the elements in eV per atom: 0.08
M_tot in μB per formula unit: 0.00
Space group: Amm2 (38)

=====

## BaCu2Ni (GGA-PBEsol)

Data for crystalline BaCu2Ni at its relaxed geometry.

```
4
Lattice="3.176 0.044 0.000 -0.043 3.176 0.000 0.000 0.000 6.902" Properties=species:S:1:pos:R:3 pbc="T T T"
Cu 0.000 0.000 6.328
Ni 0.000 0.000 4.002
Ba 1.567 1.610 1.790
Cu 1.567 1.610 5.134
```

Formation energy from the elements in eV per atom: 0.34
M_tot in μB per formula unit: 0.00
Space group: P4mm (99)